(1)
# ErVC2 (PBE, optimized geometry)
# Formation enthalpy at 0 K = -228 meV/atom
data_ErVC2
_chemical_formula_sum 'Er3 V3 C6'
_cell_length_a 3.184
_cell_length_b 3.184
_cell_length_c 16.093
_cell_angle_alpha 90.00
_cell_angle_beta 90.00
_cell_angle_gamma 120.00
_space_group_name_H-M_alt 'P 1'
_space_group_IT_number 1
_space_group_name_Hall 'P 1'
loop_
_atom_site_label
_atom_site_fract_x
_atom_site_fract_y
_atom_site_fract_z
Er1 0.000 0.000 0.000
Er2 0.333 0.667 0.667
Er3 0.667 0.333 0.333
V1 0.000 0.000 0.500
V2 0.333 0.667 0.167
V3 0.667 0.333 0.833
C1 0.000 0.000 0.236
C2 0.000 0.000 0.764
C3 0.333 0.667 0.431
C4 0.333 0.667 0.902
C5 0.667 0.333 0.098
C6 0.667 0.333 0.569

(2)
# CaIn2C (PBE, optimized geometry)
# Formation enthalpy at 0 K = 390 meV/atom
data_CaIn2C
_chemical_formula_sum 'Ca4 In8 C4'
_cell_length_a 7.973
_cell_length_b 7.973
_cell_length_c 5.309
_cell_angle_alpha 90.00
_cell_angle_beta 90.00
_cell_angle_gamma 90.00
_space_group_name_H-M_alt 'P 1'
_space_group_IT_number 1
_space_group_name_Hall 'P 1'
loop_
_atom_site_label
_atom_site_fract_x
_atom_site_fract_y
_atom_site_fract_z
Ca1 0.000 0.000 0.000
Ca2 0.000 0.500 0.250
Ca3 0.500 0.000 0.750
Ca4 0.500 0.500 0.500
In1 0.155 0.250 0.625
In2 0.250 0.655 0.875
In3 0.250 0.845 0.375
In4 0.345 0.250 0.125
In5 0.655 0.750 0.125
In6 0.750 0.155 0.375
In7 0.750 0.345 0.875
In8 0.845 0.750 0.625
C1 0.000 0.000 0.500
C2 0.000 0.500 0.750
C3 0.500 0.000 0.250
C4 0.500 0.500 0.000

(3)
# CePuNiPd (PBE, optimized geometry)
# Formation enthalpy at 0 K = -451 meV/atom
data_CePuNiPd
_chemical_formula_sum 'Ce4 Pu4 Ni4 Pd4'
_cell_length_a 6.625
_cell_length_b 6.625
_cell_length_c 6.625
_cell_angle_alpha 90.00
_cell_angle_beta 90.00
_cell_angle_gamma 90.00
_space_group_name_H-M_alt 'P 1'
_space_group_IT_number 1
_space_group_name_Hall 'P 1'
loop_
_atom_site_label
_atom_site_fract_x
_atom_site_fract_y
_atom_site_fract_z
Ce1 0.000 0.000 0.000
Ce2 0.000 0.500 0.500
Ce3 0.500 0.000 0.500
Ce4 0.500 0.500 0.000
Pu1 0.250 0.250 0.250
Pu2 0.250 0.750 0.750
Pu3 0.750 0.250 0.750
Pu4 0.750 0.750 0.250
Ni1 0.250 0.250 0.750
Ni2 0.250 0.750 0.250
Ni3 0.750 0.250 0.250
Ni4 0.750 0.750 0.750
Pd1 0.000 0.000 0.500
Pd2 0.000 0.500 0.000
Pd3 0.500 0.000 0.000
Pd4 0.500 0.500 0.500

(4)
# TbPr3HoTm (PBE, optimized geometry)
# Formation enthalpy at 0 K = 22 meV/atom
data_TbPr3HoTm
_chemical_formula_sum 'Tb2 Pr6 Ho2 Tm2'
_cell_length_a 8.109
_cell_length_b 8.109
_cell_length_c 10.239
_cell_angle_alpha 90.00
_cell_angle_beta 90.00
_cell_angle_gamma 143.28
_space_group_name_H-M_alt 'P 1'
_space_group_IT_number 1
_space_group_name_Hall 'P 1'
loop_
_atom_site_label
_atom_site_fract_x
_atom_site_fract_y
_atom_site_fract_z
Tb1 0.000 0.000 0.000
Tb2 0.000 0.000 0.500
Pr1 0.166 0.834 0.750
Pr2 0.335 0.665 0.000
Pr3 0.335 0.665 0.500
Pr4 0.665 0.335 0.000
Pr5 0.665 0.335 0.500
Pr6 0.834 0.166 0.250
Ho1 0.498 0.502 0.750
Ho2 0.502 0.498 0.250
Tm1 0.165 0.835 0.250
Tm2 0.835 0.165 0.750

(5)
# SmPuPt (PBE, optimized geometry)
# Formation enthalpy at 0 K = -624 meV/atom
# Excess energy over the best structure of this formula in the dataset = 72 meV per atom
data_SmPuPt
_chemical_formula_sum 'Sm4 Pu4 Pt4'
_cell_length_a 6.202
_cell_length_b 5.153
_cell_length_c 9.225
_cell_angle_alpha 90.00
_cell_angle_beta 90.07
_cell_angle_gamma 90.00
_space_group_name_H-M_alt 'P 1'
_space_group_IT_number 1
_space_group_name_Hall 'P 1'
loop_
_atom_site_label
_atom_site_fract_x
_atom_site_fract_y
_atom_site_fract_z
Sm1 0.175 0.250 0.090
Sm2 0.325 0.750 0.590
Sm3 0.675 0.250 0.410
Sm4 0.825 0.750 0.910
Pu1 0.000 0.250 0.700
Pu2 0.000 0.750 0.300
Pu3 0.499 0.250 0.800
Pu4 0.501 0.750 0.200
Pt1 0.206 0.250 0.421
Pt2 0.293 0.750 0.920
Pt3 0.707 0.250 0.080
Pt4 0.794 0.750 0.579

(6)
# LiCd2HgO (PBE, optimized geometry)
# E_form (uncorrected) = -142 meV/atom
data_LiCd2HgO
_chemical_formula_sum 'Li1 Cd2 Hg1 O1'
_cell_length_a 4.436
_cell_length_b 4.436
_cell_length_c 6.068
_cell_angle_alpha 90.00
_cell_angle_beta 90.00
_cell_angle_gamma 90.00
_space_group_name_H-M_alt 'P 1'
_space_group_IT_number 1
_space_group_name_Hall 'P 1'
loop_
_atom_site_label
_atom_site_fract_x
_atom_site_fract_y
_atom_site_fract_z
Li1 0.000 0.000 0.000
Cd1 0.000 0.500 0.500
Cd2 0.500 0.000 0.500
Hg1 0.500 0.500 0.000
O1 0.500 0.500 0.500

(7)
# Ta2ReSnIr (PBE, optimized geometry)
# Formation enthalpy at 0 K = 1462 meV/atom
data_Ta2ReSnIr
_chemical_formula_sum 'Ta2 Re1 Sn1 Ir1'
_cell_length_a 4.821
_cell_length_b 4.821
_cell_length_c 4.927
_cell_angle_alpha 90.00
_cell_angle_beta 90.00
_cell_angle_gamma 90.00
_space_group_name_H-M_alt 'P 1'
_space_group_IT_number 1
_space_group_name_Hall 'P 1'
loop_
_atom_site_label
_atom_site_fract_x
_atom_site_fract_y
_atom_site_fract_z
Ta1 0.000 0.500 0.000
Ta2 0.500 0.000 0.000
Re1 0.000 0.000 0.000
Sn1 0.000 0.000 0.500
Ir1 0.500 0.500 0.500

(8)
# CdBiSb2 (PBE, optimized geometry)
# E_form (uncorrected) = 68 meV/atom
# Excess energy over the best structure of this formula in the dataset = 0 meV per atom
data_CdBiSb2
_chemical_formula_sum 'Cd3 Bi3 Sb6'
_cell_length_a 4.353
_cell_length_b 4.353
_cell_length_c 21.931
_cell_angle_alpha 90.00
_cell_angle_beta 90.00
_cell_angle_gamma 120.00
_space_group_name_H-M_alt 'P 1'
_space_group_IT_number 1
_space_group_name_Hall 'P 1'
loop_
_atom_site_label
_atom_site_fract_x
_atom_site_fract_y
_atom_site_fract_z
Cd1 0.000 0.000 0.000
Cd2 0.333 0.667 0.667
Cd3 0.667 0.333 0.333
Bi1 0.000 0.000 0.500
Bi2 0.333 0.667 0.167
Bi3 0.667 0.333 0.833
Sb1 0.000 0.000 0.255
Sb2 0.000 0.000 0.745
Sb3 0.333 0.667 0.411
Sb4 0.333 0.667 0.922
Sb5 0.667 0.333 0.078
Sb6 0.667 0.333 0.589

(9)
# HfTiCdRe (PBE, optimized geometry)
# Formation enthalpy at 0 K = -86 meV/atom
data_HfTiCdRe
_chemical_formula_sum 'Hf4 Ti4 Cd4 Re4'
_cell_length_a 6.602
_cell_length_b 6.602
_cell_length_c 6.602
_cell_angle_alpha 90.00
_cell_angle_beta 90.00
_cell_angle_gamma 90.00
_space_group_name_H-M_alt 'P 1'
_space_group_IT_number 1
_space_group_name_Hall 'P 1'
loop_
_atom_site_label
_atom_site_fract_x
_atom_site_fract_y
_atom_site_fract_z
Hf1 0.000 0.000 0.000
Hf2 0.000 0.500 0.500
Hf3 0.500 0.000 0.500
Hf4 0.500 0.500 0.000
Ti1 0.000 0.000 0.500
Ti2 0.000 0.500 0.000
Ti3 0.500 0.000 0.000
Ti4 0.500 0.500 0.500
Cd1 0.250 0.250 0.250
Cd2 0.250 0.750 0.750
Cd3 0.750 0.250 0.750
Cd4 0.750 0.750 0.250
Re1 0.250 0.250 0.750
Re2 0.250 0.750 0.250
Re3 0.750 0.250 0.250
Re4 0.750 0.750 0.750

(10)
# DyBeGe2Ru2 (PBE, optimized geometry)
# Formation enthalpy at 0 K = -464 meV/atom
data_DyBeGe2Ru2
_chemical_formula_sum 'Dy1 Be1 Ge2 Ru2'
_cell_length_a 4.255
_cell_length_b 4.255
_cell_length_c 5.395
_cell_angle_alpha 90.00
_cell_angle_beta 90.00
_cell_angle_gamma 90.00
_space_group_name_H-M_alt 'P 1'
_space_group_IT_number 1
_space_group_name_Hall 'P 1'
loop_
_atom_site_label
_atom_site_fract_x
_atom_site_fract_y
_atom_site_fract_z
Dy1 0.000 0.000 0.000
Be1 0.000 0.000 0.500
Ge1 0.500 0.500 0.232
Ge2 0.500 0.500 0.768
Ru1 0.000 0.500 0.500
Ru2 0.500 0.000 0.500

(11)
# RbV2ReB (PBE, optimized geometry)
# Formation enthalpy at 0 K = 2284 meV/atom
data_RbV2ReB
_chemical_formula_sum 'Rb1 V2 Re1 B1'
_cell_length_a 4.665
_cell_length_b 4.665
_cell_length_c 6.356
_cell_angle_alpha 90.00
_cell_angle_beta 90.00
_cell_angle_gamma 90.00
_space_group_name_H-M_alt 'P 1'
_space_group_IT_number 1
_space_group_name_Hall 'P 1'
loop_
_atom_site_label
_atom_site_fract_x
_atom_site_fract_y
_atom_site_fract_z
Rb1 0.000 0.000 0.000
V1 0.000 0.500 0.500
V2 0.500 0.000 0.500
Re1 0.000 0.000 0.500
B1 0.500 0.500 0.000

(12)
# BaCuPO4 (PBE, optimized geometry)
# E_form (uncorrected) = -1962 meV/atom
data_BaCuPO4
_chemical_formula_sum 'Ba1 Cu1 P1 O4'
_cell_length_a 5.688
_cell_length_b 5.688
_cell_length_c 5.688
_cell_angle_alpha 60.00
_cell_angle_beta 60.00
_cell_angle_gamma 60.00
_space_group_name_H-M_alt 'P 1'
_space_group_IT_number 1
_space_group_name_Hall 'P 1'
loop_
_atom_site_label
_atom_site_fract_x
_atom_site_fract_y
_atom_site_fract_z
Ba1 0.000 0.000 0.000
Cu1 0.750 0.750 0.750
P1 0.500 0.500 0.500
O1 0.169 0.610 0.610
O2 0.610 0.169 0.610
O3 0.610 0.610 0.169
O4 0.610 0.610 0.610

Ordered total moment results: 0.0 0.0 5.2 0.0 6.0 0.0 0.0 0.0 0.0 0.0 3.9 0.1; unit μB/f.u..